TiCuS2Br PBE relaxed; symmetry = P4/mmm, No. 123; electronic total energy = -17.54 eV for the cell shown; E_form (uncorrected) = 877 meV/atom; M_tot = 0.429 μB per atom; calculated density = 3.59 g/cm3
1.0
5.239 0.000 0.000
0.000 5.239 0.000
0.000 0.000 4.301
Ti Cu S Br
1 1 2 1
direct
0.000 0.000 0.000
0.500 0.500 0.000
0.000 0.500 0.500
0.500 0.000 0.500
0.500 0.500 0.500

RbCu2Ir2 PBE relaxed; symmetry = P4/mbm, No. 127; electronic total energy = -48.12 eV for the cell shown; M_tot = 0.000 μB per atom; calculated formation energy = 0.565 eV per atom; calculated density = 11.48 g/cm3; E above lowest polymorph = 0.0 kJ/mol of formula units
1.0
8.031 0.000 0.000
0.000 8.031 0.000
0.000 0.000 2.678
Rb Cu Ir
2 4 4
direct
0.000 0.000 0.000
0.500 0.500 0.000
0.177 0.323 0.500
0.323 0.823 0.500
0.677 0.177 0.500
0.823 0.677 0.500
0.115 0.615 0.000
0.385 0.115 0.000
0.615 0.885 0.000
0.885 0.385 0.000

Tb2CeSe PBE relaxed; symmetry = R3m, No. 160; electronic total energy = -64.79 eV for the cell shown; E_form (uncorrected) = -729 meV/atom; M_tot = 0.439 μB per atom; calculated density = 7.55 g/cm3; E above lowest polymorph = 0.0 kJ/mol of formula units
1.0
3.765 0.000 0.000
-1.883 3.261 0.000
0.000 0.000 28.850
Tb Ce Se
6 3 3
direct
0.000 0.000 0.000
0.000 0.000 0.202
0.333 0.667 0.667
0.333 0.667 0.869
0.667 0.333 0.333
0.667 0.333 0.535
0.000 0.000 0.434
0.333 0.667 0.101
0.667 0.333 0.767
0.000 0.000 0.601
0.333 0.667 0.268
0.667 0.333 0.934

YTaAl PBE relaxed; symmetry = F-43m, No. 216; electronic total energy = -73.18 eV for the cell shown; M_tot = 0.834 μB per atom; calculated formation energy = 1.254 eV per atom; calculated density = 6.12 g/cm3; E above lowest polymorph = 424.7 kJ/mol of formula units
1.0
6.855 0.000 0.000
0.000 6.855 0.000
0.000 0.000 6.855
Y Ta Al
4 4 4
direct
0.000 0.000 0.000
0.000 0.500 0.500
0.500 0.000 0.500
0.500 0.500 0.000
0.250 0.250 0.750
0.250 0.750 0.250
0.750 0.250 0.250
0.750 0.750 0.750
0.250 0.250 0.250
0.250 0.750 0.750
0.750 0.250 0.750
0.750 0.750 0.250

Er8Al3In2 PBE relaxed; symmetry = Cmmm, No. 65; electronic total energy = -55.46 eV for the cell shown; M_tot = 0.000 μB per atom; calculated formation energy = -0.173 eV per atom; calculated density = 7.38 g/cm3
1.0
5.106 -7.083 0.000
5.106 7.083 0.000
0.000 0.000 5.125
Er Al In
8 3 2
direct
0.118 0.882 0.000
0.123 0.364 0.500
0.364 0.123 0.500
0.375 0.625 0.000
0.625 0.375 0.000
0.636 0.877 0.500
0.877 0.636 0.500
0.882 0.118 0.000
0.250 0.250 0.000
0.500 0.500 0.500
0.750 0.750 0.000
0.253 0.747 0.500
0.747 0.253 0.500

PaReC2 PBE relaxed; symmetry = R-3m, No. 166; electronic total energy = -121.75 eV for the cell shown; M_tot = 0.144 μB per atom; calculated formation energy = -0.048 eV per atom; calculated density = 14.31 g/cm3; E above lowest polymorph = 0.0 kJ/mol of formula units
1.0
3.362 0.000 0.000
-1.681 2.912 0.000
0.000 0.000 15.688
Pa Re C
3 3 6
direct
0.000 0.000 0.000
0.333 0.667 0.667
0.667 0.333 0.333
0.000 0.000 0.500
0.333 0.667 0.167
0.667 0.333 0.833
0.000 0.000 0.238
0.000 0.000 0.762
0.333 0.667 0.429
0.333 0.667 0.904
0.667 0.333 0.096
0.667 0.333 0.571

LiInP2S PBE relaxed; symmetry = P4/mmm, No. 123; electronic total energy = -16.27 eV for the cell shown; E_form (uncorrected) = 665 meV/atom; M_tot = 0.309 μB per atom; calculated density = 2.67 g/cm3; E above lowest polymorph = 50.5 kJ/mol of formula units
1.0
5.077 0.000 0.000
0.000 5.077 0.000
0.000 0.000 5.209
Li In P S
1 1 2 1
direct
0.000 0.000 0.000
0.500 0.500 0.500
0.000 0.500 0.500
0.500 0.000 0.500
0.500 0.500 0.000

CsBaTeOs2 PBE relaxed; symmetry = P4/mmm, No. 123; electronic total energy = -21.81 eV for the cell shown; E_form (uncorrected) = 1313 meV/atom; M_tot = 0.000 μB per atom; calculated density = 8.18 g/cm3
1.0
5.027 0.000 0.000
0.000 5.027 0.000
0.000 0.000 6.250
Cs Ba Te Os
1 1 1 2
direct
0.000 0.000 0.000
0.500 0.500 0.000
0.500 0.500 0.500
0.000 0.500 0.500
0.500 0.000 0.500

AcMg2Ga PBE relaxed; symmetry = P4/nmm, No. 129; electronic total energy = -22.73 eV for the cell shown; M_tot = 0.000 μB per atom; calculated formation energy = -0.260 eV per atom; calculated density = 5.18 g/cm3; E above lowest polymorph = 1.6 kJ/mol of formula units
1.0
4.513 0.000 0.000
0.000 4.513 0.000
0.000 0.000 10.873
Ac Mg Ga
2 4 2
direct
0.250 0.250 0.247
0.750 0.750 0.753
0.250 0.250 0.927
0.250 0.750 0.500
0.750 0.250 0.500
0.750 0.750 0.073
0.250 0.250 0.661
0.750 0.750 0.339

PmNdY6Er2 PBE relaxed; symmetry = C2/c, No. 15; electronic total energy = -112.45 eV for the cell shown; M_tot = 0.000 μB per atom; calculated formation energy = 0.120 eV per atom; calculated density = 5.83 g/cm3
1.0
4.610 -7.502 0.000
4.610 7.502 0.000
-1.237 0.000 9.527
Pm Nd Y Er
2 2 12 4
direct
0.028 0.972 0.750
0.972 0.028 0.250
0.408 0.592 0.250
0.592 0.408 0.750
0.018 0.566 0.681
0.117 0.754 0.057
0.246 0.883 0.443
0.295 0.512 0.884
0.434 0.982 0.819
0.488 0.705 0.616
0.512 0.295 0.384
0.566 0.018 0.181
0.705 0.488 0.116
0.754 0.117 0.557
0.883 0.246 0.943
0.982 0.434 0.319
0.195 0.297 0.549
0.297 0.195 0.049
0.703 0.805 0.951
0.805 0.703 0.451

Pr2ThBi4 PBE relaxed; symmetry = P-4m2, No. 115; electronic total energy = -36.22 eV for the cell shown; M_tot = 0.190 μB per atom; calculated formation energy = -0.531 eV per atom; calculated density = 9.03 g/cm3; E above lowest polymorph = 121.7 kJ/mol of formula units
1.0
4.541 0.000 0.000
0.000 4.541 0.000
0.000 0.000 12.034
Pr Th Bi
2 1 4
direct
0.000 0.500 0.213
0.500 0.000 0.787
0.000 0.000 0.500
0.000 0.000 0.000
0.000 0.500 0.688
0.500 0.000 0.312
0.500 0.500 0.000

Pr4SmDy5 PBE relaxed; symmetry = P-1, No. 2; electronic total energy = -44.96 eV for the cell shown; M_tot = 0.000 μB per atom; calculated formation energy = 0.189 eV per atom; calculated density = 7.24 g/cm3; E above lowest polymorph = 165.9 kJ/mol of formula units
1.0
3.558 0.000 0.000
1.772 8.649 0.000
0.002 0.026 11.376
Pr Sm Dy
4 1 5
direct
0.031 0.435 0.249
0.341 0.816 0.250
0.659 0.184 0.750
0.969 0.565 0.751
0.500 0.500 0.500
0.174 0.154 0.048
0.175 0.152 0.449
0.500 0.500 0.000
0.825 0.848 0.551
0.826 0.846 0.952

Tb14PmEr PBE relaxed; symmetry = Amm2, No. 38; electronic total energy = -74.14 eV for the cell shown; M_tot = 0.000 μB per atom; calculated formation energy = 0.000 eV per atom; calculated density = 8.26 g/cm3
1.0
11.513 0.000 0.000
0.000 3.576 6.194
0.000 -3.576 6.194
Tb Pm Er
14 1 1
direct
0.000 0.000 0.000
0.000 0.000 0.500
0.000 0.500 0.000
0.000 0.500 0.500
0.249 0.333 0.333
0.250 0.333 0.833
0.250 0.833 0.333
0.251 0.833 0.833
0.500 0.166 0.666
0.500 0.666 0.166
0.749 0.833 0.833
0.750 0.333 0.833
0.750 0.833 0.333
0.751 0.333 0.333
0.500 0.166 0.166
0.500 0.666 0.666

LiS PBE relaxed; symmetry = I-43m, No. 217; electronic total energy = -53.36 eV for the cell shown; E_form (uncorrected) = -314 meV/atom; M_tot = 0.502 μB per atom; calculated density = 1.17 g/cm3; E above lowest polymorph = 112.8 kJ/mol of formula units
1.0
7.626 0.000 0.000
0.000 7.626 0.000
0.000 0.000 7.626
Li S
8 8
direct
0.168 0.168 0.168
0.168 0.832 0.832
0.332 0.332 0.668
0.332 0.668 0.332
0.668 0.332 0.332
0.668 0.668 0.668
0.832 0.168 0.832
0.832 0.832 0.168
0.150 0.150 0.850
0.150 0.850 0.150
0.350 0.350 0.350
0.350 0.650 0.650
0.650 0.350 0.650
0.650 0.650 0.350
0.850 0.150 0.150
0.850 0.850 0.850

Te2As PBE relaxed; symmetry = Pa-3, No. 205; electronic total energy = -41.68 eV for the cell shown; E_form (uncorrected) = 171 meV/atom; M_tot = 0.000 μB per atom; calculated density = 6.25 g/cm3; E above lowest polymorph = 38.1 kJ/mol of formula units
1.0
7.053 0.000 0.000
0.000 7.053 0.000
0.000 0.000 7.053
Te As
8 4
direct
0.135 0.135 0.135
0.135 0.365 0.635
0.365 0.635 0.135
0.365 0.865 0.635
0.635 0.135 0.365
0.635 0.365 0.865
0.865 0.635 0.365
0.865 0.865 0.865
0.000 0.000 0.500
0.000 0.500 0.000
0.500 0.000 0.000
0.500 0.500 0.500

Ho3FeAu PBE relaxed; symmetry = P2_1/m, No. 11; electronic total energy = -54.74 eV for the cell shown; M_tot = 0.231 μB per atom; calculated formation energy = -0.380 eV per atom; calculated density = 10.34 g/cm3
1.0
8.266 0.000 0.000
0.000 3.734 0.000
-2.842 0.000 7.780
Ho Fe Au
6 2 2
direct
0.063 0.250 0.190
0.227 0.750 0.567
0.412 0.750 0.161
0.588 0.250 0.839
0.773 0.250 0.433
0.937 0.750 0.810
0.423 0.250 0.440
0.577 0.750 0.560
0.222 0.250 0.858
0.778 0.750 0.142

LiAgPb3 PBE relaxed; symmetry = Pm-3m, No. 221; electronic total energy = -14.63 eV for the cell shown; M_tot = 0.000 μB per atom; calculated formation energy = 0.251 eV per atom; calculated density = 8.95 g/cm3; E above lowest polymorph = 140.1 kJ/mol of formula units
1.0
5.150 0.000 0.000
0.000 5.150 0.000
0.000 0.000 5.150
Li Ag Pb
1 1 3
direct
0.000 0.000 0.000
0.500 0.500 0.500
0.000 0.000 0.500
0.000 0.500 0.000
0.500 0.000 0.000

HgBTeN2 PBE relaxed; symmetry = P4/mmm, No. 123; electronic total energy = -13.96 eV for the cell shown; E_form (uncorrected) = 2562 meV/atom; M_tot = 0.704 μB per atom; calculated density = 5.27 g/cm3; E above lowest polymorph = 363.9 kJ/mol of formula units
1.0
4.104 0.000 0.000
0.000 4.104 0.000
0.000 0.000 6.868
Hg B Te N
1 1 1 2
direct
0.000 0.000 0.000
0.500 0.500 0.500
0.000 0.000 0.500
0.000 0.500 0.000
0.500 0.000 0.000

TaTlOs3 PBE relaxed; symmetry = Pm-3m, No. 221; electronic total energy = -32.51 eV for the cell shown; M_tot = 0.000 μB per atom; calculated formation energy = 3.080 eV per atom; calculated density = 14.48 g/cm3; E above lowest polymorph = 459.7 kJ/mol of formula units
1.0
4.786 0.000 0.000
0.000 4.786 0.000
0.000 0.000 4.786
Ta Tl Os
1 1 3
direct
0.000 0.000 0.000
0.500 0.500 0.500
0.000 0.500 0.500
0.500 0.000 0.500
0.500 0.500 0.000

ScPOs2 PBE relaxed; symmetry = R3m, No. 160; electronic total energy = -101.32 eV for the cell shown; M_tot = 0.127 μB per atom; calculated formation energy = 0.107 eV per atom; calculated density = 12.34 g/cm3
1.0
2.889 0.000 0.000
-1.445 2.502 0.000
0.000 0.000 25.484
Sc P Os
3 3 6
direct
0.000 0.000 0.000
0.333 0.667 0.667
0.667 0.333 0.333
0.000 0.000 0.245
0.333 0.667 0.912
0.667 0.333 0.579
0.000 0.000 0.509
0.000 0.000 0.758
0.333 0.667 0.176
0.333 0.667 0.425
0.667 0.333 0.091
0.667 0.333 0.843

KScP2Cl PBE relaxed; symmetry = P4/mmm, No. 123; electronic total energy = -23.10 eV for the cell shown; E_form (uncorrected) = -602 meV/atom; M_tot = 0.150 μB per atom; calculated density = 2.23 g/cm3; E above lowest polymorph = 0.0 kJ/mol of formula units
1.0
5.034 0.000 0.000
0.000 5.034 0.000
0.000 0.000 5.344
K Sc P Cl
1 1 2 1
direct
0.000 0.000 0.000
0.500 0.500 0.500
0.000 0.500 0.500
0.500 0.000 0.500
0.500 0.500 0.000

Te2PAu2 PBE relaxed; symmetry = I4/mmm, No. 139; electronic total energy = -32.17 eV for the cell shown; E_form (uncorrected) = 432 meV/atom; M_tot = 0.000 μB per atom; calculated density = 9.22 g/cm3; E above lowest polymorph = 0.0 kJ/mol of formula units
1.0
5.648 0.000 0.000
0.000 5.648 0.000
0.000 0.000 7.684
Te P Au
4 2 4
direct
0.000 0.500 0.250
0.000 0.500 0.750
0.500 0.000 0.250
0.500 0.000 0.750
0.000 0.000 0.000
0.500 0.500 0.500
0.000 0.000 0.322
0.000 0.000 0.678
0.500 0.500 0.178
0.500 0.500 0.822

Mn2CrSb PBE relaxed; symmetry = P4/mmm, No. 123; electronic total energy = -31.57 eV for the cell shown; E_form (uncorrected) = 129 meV/atom; M_tot = 0.624 μB per atom; calculated density = 7.91 g/cm3
1.0
3.894 0.000 0.000
0.000 3.894 0.000
0.000 0.000 3.927
Mn Cr Sb
2 1 1
direct
0.000 0.500 0.000
0.500 0.000 0.000
0.000 0.000 0.500
0.500 0.500 0.500

AcPrGaNi PBE relaxed; symmetry = F-43m, No. 216; electronic total energy = -74.75 eV for the cell shown; M_tot = 0.000 μB per atom; calculated formation energy = -0.248 eV per atom; calculated density = 7.89 g/cm3; E above lowest polymorph = 51.5 kJ/mol of formula units
1.0
7.475 0.000 0.000
0.000 7.475 0.000
0.000 0.000 7.475
Ac Pr Ga Ni
4 4 4 4
direct
0.000 0.000 0.000
0.000 0.500 0.500
0.500 0.000 0.500
0.500 0.500 0.000
0.000 0.000 0.500
0.000 0.500 0.000
0.500 0.000 0.000
0.500 0.500 0.500
0.250 0.250 0.750
0.250 0.750 0.250
0.750 0.250 0.250
0.750 0.750 0.750
0.250 0.250 0.250
0.250 0.750 0.750
0.750 0.250 0.750
0.750 0.750 0.250